4
Lattice="2.991 0.000 0.000 0.000 4.580 0.000 0.000 0.000 4.612" Properties=species:S:1:pos:R:3 comment="NiRu2Pb PBE relaxed" e_tot_ev_per_fu=-25.72 magmom_total_mub_per_fu=1.27 dos_at_fermi_per_ev_cell=5.57 vol_a3_per_cell=63 pbc="T T T"
Ni 0.000 0.000 0.000
Ru 0.000 2.290 2.306
Ru 1.495 0.000 2.306
Pb 1.495 2.290 0.000